[1]
# AcTc2Ge7

A relaxed AcTc2Ge7 crystal (PBE-GGA, Alexandria).

Calculated values
Formation energy from the elements ... 0.007 eV per atom

abc: 4.850 6.879 6.879
angles: 100.12 90.00 90.00
Fractional positions:
Ac: 0.000 0.000 0.000
Tc: 0.500 0.725 0.275
Tc: 0.500 0.275 0.725
Ge: 0.000 0.689 0.311
Ge: 0.000 0.311 0.689
Ge: 0.500 0.104 0.342
Ge: 0.500 0.896 0.658
Ge: 0.500 0.342 0.104
Ge: 0.500 0.658 0.896
Ge: 0.500 0.500 0.500



[2]
# AcTc4Ge12

A relaxed AcTc4Ge12 crystal (PBE-GGA, Alexandria).

Calculated values
Formation energy from the elements ... 0.150 eV per atom

abc: 7.669 7.669 7.669
angles: 109.47 109.47 109.47
Fractional positions:
Ac: 0.000 0.000 0.000
Tc: 0.000 0.500 0.000
Tc: 0.500 0.000 0.000
Tc: 0.500 0.500 0.500
Tc: 0.000 0.000 0.500
Ge: 0.835 0.347 0.182
Ge: 0.347 0.512 0.165
Ge: 0.818 0.165 0.653
Ge: 0.347 0.182 0.835
Ge: 0.182 0.835 0.347
Ge: 0.653 0.488 0.835
Ge: 0.512 0.165 0.347
Ge: 0.488 0.835 0.653
Ge: 0.653 0.818 0.165
Ge: 0.835 0.653 0.488
Ge: 0.165 0.347 0.512
Ge: 0.165 0.653 0.818



[3]
# AcTc2Ge8

A relaxed AcTc2Ge8 crystal (PBE-GGA, Alexandria).

Calculated values
Formation energy from the elements ... 0.113 eV per atom

abc: 6.454 6.454 5.454
angles: 90.00 90.00 90.00
Fractional positions:
Ac: 0.500 0.500 0.500
Tc: 0.500 0.000 0.000
Tc: 0.000 0.500 0.000
Ge: 0.796 0.796 0.250
Ge: 0.796 0.204 0.750
Ge: 0.796 0.796 0.750
Ge: 0.796 0.204 0.250
Ge: 0.204 0.796 0.250
Ge: 0.204 0.796 0.750
Ge: 0.204 0.204 0.250
Ge: 0.204 0.204 0.750



[4]
# Ac3Tc2Ge4

A relaxed Ac3Tc2Ge4 crystal (PBE-GGA, Alexandria).

Calculated values
Formation energy from the elements ... -0.501 eV per atom

abc: 4.567 6.349 8.692
angles: 106.96 90.00 111.08
Fractional positions:
Ac: 0.619 0.238 0.698
Ac: 0.000 0.000 0.000
Ac: 0.381 0.762 0.302
Tc: 0.691 0.381 0.364
Tc: 0.309 0.619 0.636
Ge: 0.708 0.415 0.088
Ge: 0.292 0.585 0.912
Ge: 0.887 0.773 0.595
Ge: 0.113 0.227 0.405



[5]
# Ac3Tc3Ge8

A relaxed Ac3Tc3Ge8 crystal (PBE-GGA, Alexandria).

Calculated values
Formation energy from the elements ... -0.302 eV per atom

abc: 4.450 8.542 8.542
angles: 77.75 74.90 74.90
Fractional positions:
Ac: 0.500 0.500 0.500
Ac: 0.819 0.181 0.181
Ac: 0.181 0.819 0.819
Tc: 0.500 0.000 0.000
Tc: 0.000 0.782 0.218
Tc: 0.000 0.218 0.782
Ge: 0.614 0.093 0.680
Ge: 0.386 0.907 0.320
Ge: 0.614 0.680 0.093
Ge: 0.386 0.320 0.907
Ge: 0.837 0.807 0.519
Ge: 0.163 0.193 0.481
Ge: 0.837 0.519 0.807
Ge: 0.163 0.481 0.193



[6]
# AcTc3Ge3

A relaxed AcTc3Ge3 crystal (PBE-GGA, Alexandria).

Calculated values
ΔE to the lowest computed polymorph ... 495 meV per atom
Formation energy from the elements ... 0.221 eV per atom

abc: 6.831 6.831 6.831
angles: 90.00 90.00 90.00
Last column: magnetic moment on the atom in μB.
Fractional positions:
Ac: 0.500 0.500 0.500  0.00
Ac: 0.000 0.000 0.000  0.00
Ge: 0.000 0.250 0.500  -0.03
Ge: 0.000 0.750 0.500  -0.03
Ge: 0.500 0.000 0.750  -0.03
Ge: 0.750 0.500 0.000  -0.03
Ge: 0.500 0.000 0.250  -0.03
Ge: 0.250 0.500 0.000  -0.03
Tc: 0.250 0.000 0.500  0.76
Tc: 0.000 0.500 0.250  0.76
Tc: 0.500 0.750 0.000  0.76
Tc: 0.750 0.000 0.500  0.76
Tc: 0.000 0.500 0.750  0.76
Tc: 0.500 0.250 0.000  0.76



[7]
# AcGeTe4

A relaxed AcGeTe4 crystal (PBE-GGA, Alexandria).

Calculated values
ΔE_f (raw) ... -560 meV per atom

abc: 6.736 8.640 10.732
angles: 90.00 90.00 129.73
Fractional positions:
Ac: 0.003 0.651 0.750
Ac: 0.997 0.349 0.250
Ge: 0.999 0.120 0.750
Ge: 0.001 0.880 0.250
Te: 0.585 0.742 0.750
Te: 0.415 0.258 0.250
Te: 0.418 0.161 0.750
Te: 0.582 0.839 0.250
Te: 0.004 0.673 0.067
Te: 0.996 0.327 0.567
Te: 0.004 0.673 0.433
Te: 0.996 0.327 0.933



[8]
# AcGeTe

A relaxed AcGeTe crystal (PBE-GGA, Alexandria).

Calculated values
ΔE to the lowest computed polymorph ... 0 meV per atom
ΔE_f (raw) ... -767 meV per atom

abc: 6.517 5.030 6.518
angles: 88.93 86.51 88.87
Fractional positions:
Ac: 0.816 0.398 0.588
Ac: 0.328 0.399 0.076
Te: 0.834 0.275 0.094
Te: 0.486 0.896 0.745
Ge: 0.180 0.908 0.438
Ge: 0.306 0.404 0.566



[9]
# Ac2GeTe

A relaxed Ac2GeTe crystal (PBE-GGA, Alexandria).

Calculated values
ΔE to the lowest computed polymorph ... 0 meV per atom
ΔE_f (raw) ... -1205 meV per atom

abc: 4.669 4.669 8.240
angles: 73.53 73.53 60.00
Fractional positions:
Ac: 0.741 0.741 0.777
Ac: 0.259 0.259 0.223
Ge: 0.000 0.000 0.000
Te: 0.500 0.500 0.500



[10]
# AcGe6Te8

A relaxed AcGe6Te8 crystal (PBE-GGA, Alexandria).

Calculated values
ΔE_f (raw) ... -241 meV per atom

abc: 8.001 8.001 8.001
angles: 81.79 81.79 81.79
Fractional positions:
Ac: 0.000 0.000 0.000
Ge: 0.633 0.409 0.849
Ge: 0.409 0.849 0.633
Ge: 0.849 0.633 0.409
Ge: 0.367 0.591 0.151
Ge: 0.591 0.151 0.367
Ge: 0.151 0.367 0.591
Te: 0.732 0.732 0.732
Te: 0.268 0.268 0.268
Te: 0.640 0.861 0.205
Te: 0.861 0.205 0.640
Te: 0.205 0.640 0.861
Te: 0.360 0.139 0.795
Te: 0.139 0.795 0.360
Te: 0.795 0.360 0.139



[11]
# Ac2GeTe

A relaxed Ac2GeTe crystal (PBE-GGA, Alexandria).

Calculated values
ΔE to the lowest computed polymorph ... 59 meV per atom
ΔE_f (raw) ... -1146 meV per atom

abc: 4.607 4.607 8.487
angles: 74.25 74.25 60.00
Fractional positions:
Ac: 0.073 0.073 0.781
Ac: 0.261 0.261 0.218
Ge: 0.667 0.667 0.998
Te: 0.499 0.499 0.504



[12]
# AcGeTe

A relaxed AcGeTe crystal (PBE-GGA, Alexandria).

Calculated values
ΔE to the lowest computed polymorph ... 119 meV per atom
ΔE_f (raw) ... -648 meV per atom

abc: 4.183 5.006 5.006
angles: 120.00 90.00 90.00
Fractional positions:
Ac: 0.000 0.000 0.000
Te: 0.501 0.667 0.333
Ge: 0.499 0.333 0.667



Computed total magnetization, in the same sequence as the records: 0.00, 0.00, 0.00, 0.00, 0.00, 0.36, 0.00, 0.00, 0.00, 0.00, 0.00, 0.00 μB/atom.